Below is an optimized crystal structure of Dy3Er2Mg3, with properties calculated at the PBE-GGA level.

Calculated values
electronic total energy = -3.405 eV/atom
offset from the most stable computed form = 0.036 eV per atom
mass density = 6.53 g/cm3

Cell and atoms, written as CIF:
```
data_Dy3Er2Mg3
_chemical_formula_sum 'Dy6 Er4 Mg6'
_symmetry_space_group_name_H-M 'A m m 2'
_symmetry_Int_Tables_number 38
_cell_length_a 5.5176
_cell_length_b 7.0658
_cell_length_c 11.6709
_cell_angle_alpha 90.00
_cell_angle_beta 90.00
_cell_angle_gamma 90.00
loop_
_symmetry_equiv_pos_as_xyz
'x,y,z'
'-x,-y,z'
'-x,y,z'
'x,-y,z'
'x,y+1/2,z+1/2'
'-x,-y+1/2,z+1/2'
'-x,y+1/2,z+1/2'
'x,-y+1/2,z+1/2'
loop_
_atom_site_label
_atom_site_fract_x
_atom_site_fract_y
_atom_site_fract_z
Dy1 0.0000 0.0000 0.0000
Dy2 0.5000 0.2490 0.0708
Er1 0.0000 0.0000 0.4848
Er2 0.5000 0.0000 0.8202
Mg1 0.0000 0.2354 0.7400
Mg2 0.5000 0.0000 0.3192
```